The following is a DFT calculation (PBE+U) of Ba3V4P6O24 after structural relaxation.

a = 10.0348 Å, b = 10.0951 Å, c = 10.0888 Å
α = 90.00°, β = 90.25°, γ = 90.00°
Fractional coordinates of all 74 atoms:
Ba  0.0697  0.0000  0.1649
Ba  0.2062  0.6232  0.4539
Ba  0.4289  0.8596  0.7008
Ba  0.5711  0.3596  0.2992
Ba  0.7938  0.1232  0.5461
Ba  0.9303  0.5000  0.8351
V  0.0895  0.8389  0.8371
V  0.1436  0.2733  0.6046
V  0.3522  0.5666  0.0997
V  0.4184  0.0118  0.3370
V  0.5816  0.5118  0.6630
V  0.6478  0.0666  0.9003
V  0.8564  0.7733  0.3954
V  0.9105  0.3389  0.1629
P  0.0409  0.6524  0.1276
P  0.1294  0.9608  0.5219
P  0.2249  0.2985  0.2898
P  0.2695  0.5520  0.7903
P  0.3753  0.8838  0.0267
P  0.4605  0.1967  0.6172
P  0.5395  0.6967  0.3828
P  0.6247  0.3838  0.9733
P  0.7305  0.0520  0.2097
P  0.7751  0.7985  0.7102
P  0.8706  0.4608  0.4781
P  0.9591  0.1524  0.8724
O  0.0062  0.0106  0.9037
O  0.0332  0.7331  0.9985
O  0.0378  0.8599  0.4487
O  0.0453  0.2250  0.7691
O  0.0701  0.1018  0.5047
O  0.0838  0.2690  0.2359
O  0.1480  0.9281  0.6695
O  0.1859  0.6514  0.1842
O  0.1994  0.4543  0.6936
O  0.1994  0.6881  0.7557
O  0.2159  0.3523  0.4351
O  0.2444  0.5125  0.9350
O  0.2494  0.9085  0.9390
O  0.2685  0.9412  0.4577
O  0.3020  0.4052  0.2128
O  0.3043  0.1689  0.2820
O  0.3114  0.1761  0.6456
O  0.3402  0.9307  0.1685
O  0.4127  0.7359  0.0244
O  0.4181  0.5757  0.7611
O  0.4532  0.6223  0.2797
O  0.4880  0.9611  0.9581
O  0.4957  0.3439  0.5997
O  0.4984  0.6291  0.5180
O  0.5016  0.1291  0.4820
O  0.5043  0.8439  0.4003
O  0.5120  0.4611  0.0419
O  0.5468  0.1223  0.7203
O  0.5819  0.0757  0.2389
O  0.5873  0.2359  0.9756
O  0.6598  0.4307  0.8315
O  0.6886  0.6761  0.3544
O  0.6957  0.6689  0.7180
O  0.6980  0.9052  0.7872
O  0.7315  0.4412  0.5423
O  0.7506  0.4085  0.0610
O  0.7556  0.0125  0.0650
O  0.7841  0.8523  0.5649
O  0.8006  0.1881  0.2443
O  0.8006  0.9543  0.3064
O  0.8141  0.1514  0.8158
O  0.8520  0.4281  0.3305
O  0.9162  0.7690  0.7641
O  0.9299  0.6018  0.4953
O  0.9547  0.7250  0.2309
O  0.9622  0.3599  0.5513
O  0.9668  0.2331  0.0015
O  0.9938  0.5106  0.0963

Results
Calculated total energy = -7.520 eV/atom